Record 1
8
Lattice="3.6207 0.0000 0.0000 0.0000 3.6207 0.0000 0.0000 0.0000 11.8052" Properties=species:S:1:pos:R:3 comment="Ag2PCl GGA-PBEsol optimized geometry" de_polymorph_mev_per_atom=278.3 m_tot_mub_per_cell=2.0 e_form_raw_ev_per_atom=0.30 pbc="T T T"
Ag 0.0000 0.0000 0.0000
Ag 0.0000 1.8103 2.9513
Ag 1.8103 0.0000 8.8539
Ag 1.8103 1.8103 5.9026
P 0.0000 1.8103 8.8539
P 1.8103 0.0000 2.9513
Cl 0.0000 0.0000 5.9026
Cl 1.8103 1.8103 0.0000



Record 2
8
Lattice="5.0091 0.0000 0.0000 0.0000 5.0091 0.0000 0.0000 0.0000 9.6486" Properties=species:S:1:pos:R:3 comment="CaY2Mg GGA-PBEsol optimized geometry" formation_energy_mev_per_atom=103.2 m_tot_mub_per_cell=0.0 pbc="T T T"
Ca 0.0000 0.0000 0.0000
Ca 2.5045 2.5045 4.8243
Y 0.0000 0.0000 4.8243
Y 0.0000 2.5045 7.2365
Y 2.5045 0.0000 2.4122
Y 2.5045 2.5045 0.0000
Mg 0.0000 2.5045 2.4122
Mg 2.5045 0.0000 7.2365



Record 3
8
Lattice="3.5405 0.0000 0.0000 0.0000 4.6759 0.0000 0.0000 0.0000 10.6777" Properties=species:S:1:pos:R:3 comment="Ca2NiAg GGA-PBEsol optimized geometry" formation_energy_mev_per_atom=-33.7 m_tot_mub_per_cell=0.0 pbc="T T T"
Ca 0.0000 0.0000 0.0000
Ca 0.0000 2.3380 2.2255
Ca 1.7702 0.0000 7.5643
Ca 1.7702 2.3380 5.3388
Ni 0.0000 2.3380 7.9099
Ni 1.7702 0.0000 2.5711
Ag 0.0000 0.0000 4.4478
Ag 1.7702 2.3380 9.7866



Record 4
4
Lattice="2.9606 0.0000 0.0000 0.0000 2.9606 0.0000 0.0000 0.0000 7.2985" Properties=species:S:1:pos:R:3 comment="ZrRh2Cl GGA-PBEsol optimized geometry" de_polymorph_mev_per_atom=135.4 m_tot_mub_per_cell=0.9 e_form_raw_ev_per_atom=-0.23 pbc="T T T"
Zr 0.0000 0.0000 0.0000
Rh 0.0000 0.0000 3.7606
Rh 1.4803 1.4803 5.4384
Cl 1.4803 1.4803 1.6501



Record 5
5
Lattice="3.9503 0.0000 0.0000 0.0000 3.9503 0.0000 0.0000 0.0000 4.5654" Properties=species:S:1:pos:R:3 comment="ZrMn2TeC GGA-PBEsol optimized geometry" m_tot_mub_per_cell=3.8 e_form_raw_ev_per_atom=-0.10 pbc="T T T"
Zr 0.0000 0.0000 0.0000
Mn 0.0000 1.9751 2.2827
Mn 1.9751 0.0000 2.2827
Te 1.9751 1.9751 0.0000
C 0.0000 0.0000 2.2827



Record 6
72
Lattice="4.1896 -5.9373 0.0000 4.1896 5.9373 0.0000 -1.7657 0.0000 13.6730" Properties=species:S:1:pos:R:3 comment="LiVP4H12O18 GGA-PBEsol optimized geometry" m_tot_mub_per_cell=4.0 final_energy_ev_per_cell=-453.6 pbc="T T T"
Li 2.8653 5.4423 10.2547
Li 3.7481 -5.4423 3.4182
V 3.7481 1.8114 3.4182
V 2.8653 -1.8114 10.2547
P 0.4970 0.5021 12.6064
P 1.3798 -0.5021 5.7700
P 2.3005 0.9179 8.1981
P 3.1833 -0.9179 1.3616
P 3.4301 0.9179 12.3113
P 4.3129 -0.9179 5.4748
P 5.2336 0.5021 7.9030
P 6.1165 -0.5021 1.0665
H 1.3309 2.2579 2.4002
H 0.7977 2.5885 10.1257
H 1.9014 4.4860 12.7556
H 2.2495 3.0564 5.2407
H 2.7866 3.5628 8.5954
H 3.6835 3.3745 1.2640
H 3.8292 4.4860 7.7539
H 2.9440 3.5628 11.9140
H 3.8128 3.3745 5.5725
H 0.4481 -2.2579 9.2367
H 5.2468 3.0564 1.5957
H 1.6805 -2.5885 3.2892
H 4.9329 2.5885 10.3837
H 1.3666 -3.0564 12.0772
H 6.1654 2.2579 4.4362
H 2.8007 -3.3745 8.1005
H 3.6695 -3.5628 1.7589
H 2.7842 -4.4860 5.9191
H 2.9300 -3.3745 12.4090
H 3.8268 -3.5628 5.0776
H 4.3640 -3.0564 8.4322
H 4.7120 -4.4860 0.9174
H 5.8158 -2.5885 3.5472
H 5.2826 -2.2579 11.2727
O -0.5321 1.4235 13.1977
O 2.0989 2.8082 2.8556
O 2.2722 4.3005 11.8255
O 1.7487 2.2018 8.7695
O 3.4584 4.3005 8.6840
O 1.2025 0.0243 4.3933
O 0.3197 -0.0243 11.2298
O 1.5419 0.7434 6.7997
O 3.1732 2.6953 5.1602
O 0.3507 -1.4235 6.3612
O 4.3231 2.6953 1.6763
O 1.9291 1.2418 12.7593
O 0.6591 -0.7434 13.6362
O 3.1183 0.3402 2.1680
O 2.2355 -0.3402 9.0045
O 3.8015 1.2418 7.7502
O 5.3974 2.8082 3.9809
O 3.9819 2.2018 11.7400
O 2.6316 -2.2018 1.9330
O 1.2160 -2.8082 9.6921
O 2.8120 -1.2418 5.9228
O 4.3780 0.3402 4.6685
O 3.4951 -0.3402 11.5049
O 5.9543 0.7434 0.0368
O 4.6843 -1.2418 0.9137
O 2.2904 -2.6953 11.9967
O 6.2628 1.4235 7.3118
O 3.4403 -2.6953 8.5128
O 5.0715 -0.7434 6.8733
O 6.2937 0.0243 2.4432
O 5.4109 -0.0243 9.2797
O 3.1551 -4.3005 4.9890
O 4.8647 -2.2018 4.9035
O 4.3412 -4.3005 1.8475
O 4.5146 -2.8082 10.8174
O 7.1456 -1.4235 0.4753



Record 7
10
Lattice="3.5950 0.0000 0.0000 0.0000 3.5950 0.0000 0.0000 0.0000 20.1853" Properties=species:S:1:pos:R:3 comment="Li2La2Al GGA-PBEsol optimized geometry" formation_energy_mev_per_atom=-8.3 m_tot_mub_per_cell=0.0 pbc="T T T"
Li 0.0000 1.7975 5.0463
Li 0.0000 1.7975 15.1390
Li 1.7975 0.0000 5.0463
Li 1.7975 0.0000 15.1390
La 0.0000 0.0000 1.9596
La 0.0000 0.0000 18.2257
La 1.7975 1.7975 8.1330
La 1.7975 1.7975 12.0523
Al 0.0000 0.0000 10.0927
Al 1.7975 1.7975 0.0000



Record 8
7
Lattice="2.7885 1.6099 4.4921 -2.7885 1.6099 4.4921 0.0000 -3.2199 4.4921" Properties=species:S:1:pos:R:3 comment="In2Rh3S2 GGA-PBEsol optimized geometry" m_tot_mub_per_cell=0.0 e_form_raw_ev_per_atom=-0.55 pbc="T T T"
In 0.0000 0.0000 0.0000
In 0.0000 0.0000 6.7382
Rh -1.3943 -0.8050 4.4921
Rh -1.3943 0.8050 8.9842
Rh 0.0000 1.6099 4.4921
S 0.0000 0.0000 2.8847
S 0.0000 0.0000 10.5916



Record 9
19
Lattice="4.4713 2.5815 4.2997 -4.4713 2.5815 4.2997 0.0000 -5.1630 4.2997" Properties=species:S:1:pos:R:3 comment="Eu2Mn5Al12 GGA-PBEsol optimized geometry" formation_energy_mev_per_atom=-246.1 m_tot_mub_per_cell=8.7 pbc="T T T"
Eu 0.0000 0.0000 2.0052
Eu 0.0000 0.0000 10.8939
Mn -2.2357 -1.2908 4.2997
Mn 0.0000 0.0000 5.3435
Mn -2.2357 1.2908 8.5994
Mn 0.0000 2.5815 4.2997
Mn 0.0000 0.0000 7.5556
Al 0.0000 -2.3315 4.0820
Al -2.0192 1.1658 4.0820
Al -1.2763 -2.2106 6.4495
Al -2.5526 0.0000 6.4495
Al -2.0192 -1.1658 8.8171
Al 1.2763 -2.2106 6.4495
Al -1.2763 2.2106 6.4495
Al 2.0192 1.1658 4.0820
Al 2.5526 0.0000 6.4495
Al 1.2763 2.2106 6.4495
Al 2.0192 -1.1658 8.8171
Al 0.0000 2.3315 8.8171



Record 10
3
Lattice="4.4836 0.0000 0.0000 -2.2418 3.8829 0.0000 0.0000 0.0000 4.2008" Properties=species:S:1:pos:R:3 comment="SrMgRh GGA-PBEsol optimized geometry" formation_energy_mev_per_atom=-90.4 m_tot_mub_per_cell=0.0 pbc="T T T"
Sr 0.0000 0.0000 0.0000
Mg 0.0000 2.5886 2.1004
Rh 2.2418 1.2943 2.1004



Record 11
34
Lattice="5.4477 -3.1014 0.0000 5.4477 3.1014 0.0000 -3.5749 0.0000 12.3593" Properties=species:S:1:pos:R:3 comment="Na2Nb4O11 GGA-PBEsol optimized geometry" m_tot_mub_per_cell=0.0 e_form_raw_ev_per_atom=-2.47 pbc="T T T"
Na 3.6603 1.5879 6.1797
Na 7.2925 1.5453 0.1011
Na 5.4477 -1.5879 0.0000
Na 5.5050 -1.5453 6.2807
Nb 3.5812 1.5040 0.0245
Nb 5.4923 2.3565 3.0583
Nb 1.7354 0.4333 9.3608
Nb 3.5228 -0.4333 3.1812
Nb 1.7938 -1.5040 6.2041
Nb 5.6993 0.4352 9.3536
Nb 7.4868 -0.4352 3.1740
Nb 3.7049 -2.3565 9.2380
O -1.4282 0.8671 11.2937
O 1.4073 0.7782 3.1555
O 2.3847 2.3075 9.3521
O 5.1993 2.2343 1.1858
O 3.7020 1.5572 3.5821
O 0.3592 -0.8671 5.1140
O 1.4228 0.5772 11.2989
O -0.3801 -0.7782 9.3351
O 1.7212 0.0683 7.4046
O 3.5087 -0.0683 1.2249
O 7.3298 1.5495 2.7474
O 3.2102 -0.5772 5.1192
O 5.5061 0.0398 3.1430
O 3.7187 -0.0398 9.3226
O 6.0370 0.5790 7.4021
O 1.9146 -1.5572 9.7618
O 5.6992 0.0749 11.2847
O 7.4867 -0.0749 5.1051
O 4.1722 -2.3075 3.1724
O 7.8244 -0.5790 1.2224
O 3.4118 -2.2343 7.3654
O 5.5424 -1.5495 8.9270



Record 12
51
Lattice="6.4207 -5.4215 0.0000 6.4207 5.4215 0.0000 -2.4074 0.0000 7.6978" Properties=species:S:1:pos:R:3 comment="Na4GeH28Se4O14 GGA-PBEsol optimized geometry" m_tot_mub_per_cell=0.0 final_energy_ev_per_cell=-243.8 pbc="T T T"
Na 3.8597 2.2648 1.3951
Na 1.6566 0.0000 0.7362
Na 6.5743 2.2648 6.3027
Na 8.7774 0.0000 6.9616
Ge 5.2170 -2.2930 3.8489
H -1.2693 0.3173 5.7005
H 1.5695 2.7823 6.4420
H 5.7361 4.2239 1.8041
H 4.6978 4.2239 5.8937
H 1.8912 1.1559 3.3820
H 3.1146 2.7829 6.5097
H 3.8829 2.8565 4.4470
H 0.5068 -0.6314 4.4562
H 3.1157 0.1936 3.4766
H 4.2373 1.4468 5.1407
H 6.5511 2.8565 3.2508
H 2.0327 0.0227 7.1110
H 7.3194 2.7829 1.1881
H 1.7665 -1.5524 4.5749
H 6.1967 1.4468 2.5571
H 4.7269 -0.3404 0.9086
H 8.8645 2.7823 1.2558
H 2.9519 -2.4430 6.8273
H 5.7071 -0.3404 6.7892
H 4.7621 -2.9011 0.5439
H 7.3182 0.1936 4.2212
H 8.5428 1.1559 4.3158
H 8.4013 0.0227 0.5868
H 7.4821 -2.4430 0.8704
H 5.6719 -2.9011 7.1539
H 8.6675 -1.5524 3.1229
H 9.9272 -0.6314 3.2415
H 11.7033 0.3173 1.9973
Se 4.0105 -0.9157 5.3647
Se 6.4234 -0.9157 2.3331
Se 3.7105 -3.7012 2.7348
Se 6.7235 -3.7012 4.9630
O 5.8465 5.1290 1.4398
O 4.5875 5.1290 6.2580
O 2.3182 3.0736 7.0374
O 2.6331 0.7768 2.8308
O 4.3044 2.4359 5.2610
O 6.1295 2.4359 2.4368
O 4.0520 0.0920 0.3099
O 0.7726 -1.5901 4.5082
O 8.1157 3.0736 0.6603
O 2.3235 -3.0748 7.2701
O 7.8009 0.7768 4.8669
O 6.3820 0.0920 7.3878
O 8.1105 -3.0748 0.4277
O 9.6614 -1.5901 3.1896